Density functional theory data (PBE+U) for a relaxed structure of NiBiTeO6.

Symmetry = P-31c
Total DFT energy (no corrections) = -5.4116 eV per atom
ρ = 7.05 g/cm³

POSCAR file:
```
NiBiTeO6
1.0
-2.7047 -4.3710 -0.9954
2.5850 0.5057 4.5249
-7.9179 3.9704 4.0796
Ni Bi Te O
2 2 2 12
direct
0.3333 0.6667 0.2500 Ni
0.6667 0.3333 0.7500 Ni
0.0000 0.0000 0.0000 Bi
0.0000 0.0000 0.5000 Bi
0.6667 0.3333 0.2500 Te
0.3333 0.6667 0.7500 Te
0.6415 0.6310 0.1386 O
0.9895 0.3585 0.1386 O
0.3585 0.9895 0.6386 O
0.0105 0.6415 0.8614 O
0.3690 0.3585 0.3614 O
0.9895 0.6310 0.3614 O
0.6310 0.9895 0.8614 O
0.6415 0.0105 0.3614 O
0.0105 0.3690 0.6386 O
0.3690 0.0105 0.1386 O
0.6310 0.6415 0.6386 O
0.3585 0.3690 0.8614 O
```